w:
Material: HfSbTe2S
Method: DFT, PBE
State: relaxed

Cell and atoms, written as CIF:
```
data_HfSbTe2S
_cell_length_a 5.081
_cell_length_b 5.081
_cell_length_c 5.222
_cell_angle_alpha 90.00
_cell_angle_beta 90.00
_cell_angle_gamma 90.00
_symmetry_space_group_name_H-M 'P 4/m m m'
_symmetry_Int_Tables_number 123
_symmetry_space_group_name_Hall '-P 4 2'
loop_
_atom_site_label
_atom_site_fract_x
_atom_site_fract_y
_atom_site_fract_z
Hf1 0.000 0.000 0.000
Sb1 0.500 0.500 0.000
Te1 0.000 0.500 0.500
S1 0.500 0.500 0.500
```

***

x:
Material: HfSbTe2S
Method: DFT, PBE
State: relaxed

Cell and atoms, written as CIF:
```
data_HfSbTe2S
_cell_length_a 5.408
_cell_length_b 5.408
_cell_length_c 5.634
_cell_angle_alpha 90.00
_cell_angle_beta 90.00
_cell_angle_gamma 90.00
_symmetry_space_group_name_H-M 'P 4/m m m'
_symmetry_Int_Tables_number 123
_symmetry_space_group_name_Hall '-P 4 2'
loop_
_atom_site_label
_atom_site_fract_x
_atom_site_fract_y
_atom_site_fract_z
Hf1 0.000 0.000 0.000
Sb1 0.000 0.000 0.500
Te1 0.000 0.500 0.000
S1 0.500 0.500 0.500
```

***

Sorted by energy, starting with the most stable: x, w.

***

w:
Material: Hf2ScS4
Method: DFT, PBE
State: relaxed

Cell and atoms, written as CIF:
```
data_Hf2ScS4
_cell_length_a 4.807
_cell_length_b 4.807
_cell_length_c 12.831
_cell_angle_alpha 90.00
_cell_angle_beta 90.00
_cell_angle_gamma 90.00
_symmetry_space_group_name_H-M 'I 4/m m m'
_symmetry_Int_Tables_number 139
_symmetry_space_group_name_Hall '-I 4 2'
loop_
_atom_site_label
_atom_site_fract_x
_atom_site_fract_y
_atom_site_fract_z
Hf1 0.000 0.000 0.115
Sc1 0.000 0.000 0.500
S1 0.000 0.000 0.305
S2 0.000 0.500 0.000
```

***

x:
Material: Hf2ScS4
Method: DFT, PBE
State: relaxed

Cell and atoms, written as CIF:
```
data_Hf2ScS4
_cell_length_a 3.498
_cell_length_b 11.796
_cell_length_c 12.816
_cell_angle_alpha 90.00
_cell_angle_beta 90.00
_cell_angle_gamma 90.00
_symmetry_space_group_name_H-M 'C m c m'
_symmetry_Int_Tables_number 63
_symmetry_space_group_name_Hall '-C 2c 2'
loop_
_atom_site_label
_atom_site_fract_x
_atom_site_fract_y
_atom_site_fract_z
Hf1 0.000 0.145 0.062
Sc1 0.000 0.384 0.250
S1 0.000 0.046 0.250
S2 0.000 0.213 0.626
S3 0.000 0.500 0.000
```

***

Sorted by energy, starting with the most stable: x, w.

***

w:
Material: HfSc3S
Method: DFT, PBE
State: relaxed

Cell and atoms, written as CIF:
```
data_HfSc3S
_cell_length_a 4.855
_cell_length_b 4.855
_cell_length_c 4.855
_cell_angle_alpha 90.00
_cell_angle_beta 90.00
_cell_angle_gamma 90.00
_symmetry_space_group_name_H-M 'P m -3 m'
_symmetry_Int_Tables_number 221
_symmetry_space_group_name_Hall '-P 4 2 3'
loop_
_atom_site_label
_atom_site_fract_x
_atom_site_fract_y
_atom_site_fract_z
Hf1 0.000 0.000 0.000
Sc1 0.000 0.500 0.500
S1 0.500 0.500 0.500
```

***

x:
Material: HfSc3S
Method: DFT, PBE
State: relaxed

Cell and atoms, written as CIF:
```
data_HfSc3S
_cell_length_a 5.174
_cell_length_b 5.174
_cell_length_c 5.174
_cell_angle_alpha 90.00
_cell_angle_beta 90.00
_cell_angle_gamma 90.00
_symmetry_space_group_name_H-M 'P m -3 m'
_symmetry_Int_Tables_number 221
_symmetry_space_group_name_Hall '-P 4 2 3'
loop_
_atom_site_label
_atom_site_fract_x
_atom_site_fract_y
_atom_site_fract_z
Hf1 0.000 0.000 0.000
Sc1 0.000 0.000 0.500
S1 0.500 0.500 0.500
```

***

Sorted by energy, starting with the most stable: w, x.